A:
Entry from Alexandria: a geometry-optimized NaCr2Fe2 structure (PBE-GGA).

Density of states at the Fermi level (states/eV/f.u.): 5.16
Space group: P4/mbm (127)

abc: 7.1589 7.1589 2.5027
angles: 90.00 90.00 90.00
Element x y z (fractional)
Na: 0.0000 0.0000 0.0000
Na: 0.5000 0.5000 0.0000
Cr: 0.1468 0.3532 0.5000
Cr: 0.3532 0.8532 0.5000
Cr: 0.6468 0.1468 0.5000
Cr: 0.8532 0.6468 0.5000
Fe: 0.1398 0.6398 0.0000
Fe: 0.3602 0.1398 0.0000
Fe: 0.6398 0.8602 0.0000
Fe: 0.8602 0.3602 0.0000

---

B:
Entry from Alexandria: a geometry-optimized NaCr2Fe2 structure (PBE-GGA).

Density of states at the Fermi level (states/eV/f.u.): 4.47
Space group: I4/mmm (139)

abc: 5.3937 5.3937 5.3937
angles: 137.59 137.59 61.54
Element x y z (fractional)
Na: 0.0000 0.0000 0.0000
Cr: 0.2500 0.7500 0.5000
Cr: 0.7500 0.2500 0.5000
Fe: 0.3748 0.3748 0.0000
Fe: 0.6252 0.6252 0.0000

---

Most stable structure, least stable structure: A, B.

---

A:
Entry from Alexandria: a geometry-optimized NbCrFe2 structure (PBE-GGA).

Density of states at the Fermi level (states/eV/f.u.): 5.48
Space group: I-42d (122)

abc: 5.3005 5.3005 5.3005
angles: 103.11 103.11 123.11
Element x y z (fractional)
Nb: 0.0000 0.0000 0.0000
Nb: 0.7500 0.2500 0.5000
Cr: 0.2500 0.7500 0.5000
Cr: 0.5000 0.5000 0.0000
Fe: 0.1584 0.6250 0.0334
Fe: 0.3750 0.4084 0.5334
Fe: 0.5916 0.1250 0.9666
Fe: 0.8750 0.8416 0.4666

---

B:
Entry from Alexandria: a geometry-optimized NbCrFe2 structure (PBE-GGA).

Density of states at the Fermi level (states/eV/f.u.): 6.68
Space group: P4/mmm (123)

abc: 4.1123 4.1123 3.0694
angles: 90.00 90.00 90.00
Element x y z (fractional)
Nb: 0.0000 0.0000 0.0000
Cr: 0.5000 0.5000 0.0000
Fe: 0.0000 0.5000 0.5000
Fe: 0.5000 0.0000 0.5000

---

C:
Entry from Alexandria: a geometry-optimized NbCrFe2 structure (PBE-GGA).

Density of states at the Fermi level (states/eV/f.u.): 3.86
Space group: P4/mmm (123)

abc: 2.7661 2.7661 6.6113
angles: 90.00 90.00 90.00
Element x y z (fractional)
Nb: 0.0000 0.0000 0.0000
Cr: 0.0000 0.0000 0.5000
Fe: 0.5000 0.5000 0.2972
Fe: 0.5000 0.5000 0.7028

---

Most stable structure, least stable structure: C, A.

---

A:
Entry from Alexandria: a geometry-optimized NbCrFe structure (PBE-GGA).

Density of states at the Fermi level (states/eV/f.u.): 4.20
Space group: Amm2 (38)

abc: 7.9088 4.8905 4.8905
angles: 59.10 90.00 90.00
Element x y z (fractional)
Nb: 0.1876 0.0000 0.0000
Nb: 0.3086 0.3322 0.3322
Nb: 0.6914 0.3322 0.3322
Nb: 0.8124 0.0000 0.0000
Cr: 0.2456 0.6668 0.6668
Cr: 0.5000 0.3273 0.8356
Cr: 0.5000 0.8356 0.3273
Cr: 0.7544 0.6668 0.6668
Fe: 0.0000 0.0035 0.4956
Fe: 0.0000 0.4935 0.4935
Fe: 0.0000 0.4956 0.0035
Fe: 0.5000 0.8371 0.8371

---

B:
Entry from Alexandria: a geometry-optimized NbCrFe structure (PBE-GGA).

Density of states at the Fermi level (states/eV/f.u.): 2.55
Space group: Cmcm (63)

abc: 6.5918 6.5918 4.1771
angles: 90.00 90.00 152.94
Element x y z (fractional)
Nb: 0.0880 0.9120 0.7500
Nb: 0.9120 0.0880 0.2500
Cr: 0.4110 0.5890 0.7500
Cr: 0.5890 0.4110 0.2500
Fe: 0.2435 0.7565 0.2500
Fe: 0.7565 0.2435 0.7500

---

Most stable structure, least stable structure: A, B.